Computed, not measured: a relaxed Rb2PrCo3F12 crystal at the GGA+U level of DFT.

N(E_F), states/eV per atom: 0.40
Energy, eV/atom: -5.139

CIF file:
```
data_Rb2PrCo3F12
_chemical_formula_sum 'Rb6 Pr3 Co9 F36'
_space_group_name_H-M_alt 'R -3 m'
_space_group_IT_number 166
_space_group_name_Hall '-R 3 2"'
_cell_length_a 7.6285
_cell_length_b 7.6285
_cell_length_c 16.9143
_cell_angle_alpha 90.00
_cell_angle_beta 90.00
_cell_angle_gamma 120.00
loop_
_atom_site_label
_atom_site_fract_x
_atom_site_fract_y
_atom_site_fract_z
Rb1 0.0000 0.0000 0.1116
Pr1 0.0000 0.0000 0.5000
Co1 0.0000 0.5000 0.0000
F1 0.0103 0.5052 0.8828
F2 0.0853 0.5427 0.3149
```